NaLiLa2Co: relaxed, PBE.

The structure in POSCAR format:
```
NaLiLa2Co
1.0
5.2019 0.0000 0.0000
0.0000 5.2019 0.0000
0.0000 0.0000 5.4718
Na Li La Co
1 1 2 1
Direct
0.0000 0.0000 0.0000 Na
0.5000 0.5000 0.0000 Li
0.0000 0.5000 0.5000 La
0.5000 0.0000 0.5000 La
0.5000 0.5000 0.5000 Co
```

Properties
Relative energy among the computed polymorphs (meV per atom): 0
Formation energy from the elements (eV/atom): 0.058